Below is a relaxed Sn2GeB crystal, with properties calculated at the GGA-PBE level.

Geometry as POSCAR:
```
Sn2GeB
1.0
0.000 3.425 3.425
3.425 0.000 3.425
3.425 3.425 0.000
Sn Ge B
2 1 1
direct
0.250 0.250 0.250 Sn
0.750 0.750 0.750 Sn
0.000 0.000 0.000 Ge
0.500 0.500 0.500 B
```

Values from the calculation:
Formation energy from the elements: 0.919 eV per atom
SG: Fm-3m
M_tot: 0.00 μB/cell
Excess energy over the best structure of this formula in the dataset: 2.18 eV per formula unit
Density of states at the Fermi level: 2.0 states/eV per cell